(1)
## TiHPd (PBE-GGA)

Data for a relaxed TiHPd crystal.

a b c (Å): 4.6919 4.5639 5.1369
angles (deg): 124.21 90.00 120.93
With the nearest neighbours (Å) after each atom.
Element x y z (fractional)
H: 0.9596 0.9192 0.1963  1 Pd 1.80, 2 Ti 1.87
H: 0.4593 0.9185 0.1392  1 Pd 1.80, 2 Ti 1.87
Pd: 0.9592 0.9184 0.8463  1 H 1.80
Pd: 0.4598 0.9195 0.4893  1 H 1.80
Ti: 0.7094 0.4188 0.1678  2 H 1.87
Ti: 0.2094 0.4188 0.6678  2 H 1.87

Computed properties:
Offset from the most stable computed form: 144.3 meV per atom
VASP energy: -17.32 eV per formula unit
Symmetry: Imma

---

(2)
## Ti2H2Pd (PBE-GGA)

Data for a relaxed Ti2H2Pd crystal.

a b c (Å): 2.9171 2.9171 6.5000
angles (deg): 77.03 77.03 90.00
With the nearest neighbours (Å) after each atom.
Element x y z (fractional)
H: 0.7500 0.2500 0.5000  4 Ti 1.90, 4 H 2.06
H: 0.2500 0.7500 0.5000  4 Ti 1.90, 4 H 2.06
Pd: 0.0000 0.0000 0.0000  8 Ti 2.78, 4 Pd 2.92
Ti: 0.3489 0.3489 0.3022  4 H 1.90
Ti: 0.6511 0.6511 0.6978  4 H 1.90

Computed properties:
Offset from the most stable computed form: 0.9 meV per atom
VASP energy: -30.14 eV per formula unit
Symmetry: I4/mmm

---

(3)
## TiH2Pd (PBE-GGA)

Data for a relaxed TiH2Pd crystal.

a b c (Å): 3.7684 3.7684 3.7684
angles (deg): 60.00 60.00 60.00
With the nearest neighbours (Å) after each atom.
Element x y z (fractional)
H: 0.2500 0.2500 0.2500  4 Pd 2.31, 4 Ti 2.31
H: 0.7500 0.7500 0.7500  4 Pd 2.31, 4 Ti 2.31
Pd: 0.5000 0.5000 0.5000  8 H 2.31
Ti: 0.0000 0.0000 0.0000  8 H 2.31

Computed properties:
Offset from the most stable computed form: 384.3 meV per atom
VASP energy: -19.58 eV per formula unit
Symmetry: Fm-3m

---

(4)
## TiH7Pd12 (PBE-GGA)

Data for a relaxed TiH7Pd12 crystal.

a b c (Å): 6.4138 6.4138 6.4138
angles (deg): 107.43 107.43 107.43
With the nearest neighbours (Å) after each atom.
Element x y z (fractional)
Ti: 0.0000 0.0000 0.0000  6 H 2.24
H: 0.9637 0.6215 0.8520  4 Pd 1.90-2.10
H: 0.3785 0.1480 0.0363  4 Pd 1.90-2.10
H: 0.1480 0.0362 0.3785  4 Pd 1.90-2.10
H: 0.5000 0.5000 0.5000  6 Pd 2.03
H: 0.8520 0.9638 0.6215  4 Pd 1.90-2.10
H: 0.6215 0.8520 0.9637  4 Pd 1.90-2.10
H: 0.0363 0.3785 0.1480  4 Pd 1.90-2.10
Pd: 0.9239 0.2974 0.7654  2 H 1.90
Pd: 0.7026 0.2346 0.0761  2 H 1.90
Pd: 0.4583 0.1528 0.3806  3 H 1.90-2.10
Pd: 0.8472 0.6194 0.5417  3 H 1.90-2.10
Pd: 0.2346 0.0761 0.7026  2 H 1.90
Pd: 0.6194 0.5417 0.8472  3 H 1.90-2.10
Pd: 0.3806 0.4583 0.1528  3 H 1.90-2.10
Pd: 0.7654 0.9239 0.2974  2 H 1.90
Pd: 0.1528 0.3806 0.4583  3 H 1.90-2.10
Pd: 0.5417 0.8472 0.6194  3 H 1.90-2.10
Pd: 0.2974 0.7654 0.9239  2 H 1.90
Pd: 0.0761 0.7026 0.2346  2 H 1.90

Computed properties:
VASP energy: -97.25 eV per formula unit
Symmetry: R-3

---

(5)
## TiH2Pd8 (PBE-GGA)

Data for a relaxed TiH2Pd8 crystal.

a b c (Å): 3.8195 6.7381 6.7381
angles (deg): 64.31 84.49 84.49
With the nearest neighbours (Å) after each atom.
Element x y z (fractional)
Ti: 0.0000 0.0000 0.0000  6 Pd 2.48-2.74
H: 0.3154 0.2496 0.2496  5 Pd 1.89-2.07
H: 0.6846 0.7504 0.7504  5 Pd 1.89-2.07
Pd: 0.6377 0.0814 0.6847  1 H 2.07
Pd: 0.3623 0.3153 0.9186  1 H 2.07
Pd: 0.8235 0.2396 0.2396  2 H 1.90-1.93
Pd: 0.1765 0.7604 0.7604  2 H 1.90-1.93
Pd: 0.6377 0.6847 0.0814  1 H 2.07
Pd: 0.3623 0.9186 0.3153  1 H 2.07
Pd: 0.2469 0.4164 0.4164  1 H 1.89
Pd: 0.7531 0.5836 0.5836  1 H 1.89

Computed properties:
VASP energy: -57.04 eV per formula unit
Symmetry: C2/m

---

(6)
## TiH2Pd (PBE-GGA)

Data for a relaxed TiH2Pd crystal.

a b c (Å): 4.1696 4.1696 5.3585
angles (deg): 67.10 67.10 90.00
With the nearest neighbours (Å) after each atom.
Element x y z (fractional)
H: 0.6282 0.1250 0.2500  2 Pd 1.84, 2 Ti 1.86
H: 0.1218 0.6250 0.2500  2 Pd 1.84, 2 Ti 1.86
H: 0.3750 0.3718 0.7500  2 Pd 1.84, 2 Ti 1.86
H: 0.8750 0.8782 0.7500  2 Pd 1.84, 2 Ti 1.86
Pd: 0.0000 0.0000 0.0000  4 H 1.84
Pd: 0.7500 0.2500 0.5000  4 H 1.84
Ti: 0.5000 0.5000 0.0000  4 H 1.86
Ti: 0.2500 0.7500 0.5000  4 H 1.86

Computed properties:
Offset from the most stable computed form: 95.5 meV per atom
VASP energy: -20.74 eV per formula unit
Symmetry: I-42d